DFT (GGA-PBEsol) results for a relaxed LiPt crystal.

```
8
Lattice="4.697 0.000 0.000 0.000 4.697 0.000 0.000 0.000 4.697" Properties=species:S:1:pos:R:3 pbc="T T T"
Li 0.458 1.891 2.806
Li 1.891 2.806 0.458
Li 2.806 0.458 1.891
Li 4.239 4.239 4.239
Pt 0.507 4.189 1.841
Pt 1.841 0.507 4.189
Pt 2.856 2.856 2.856
Pt 4.189 1.841 0.507
```

Computed properties:
Crystal system ... cubic
Total magnetic moment ... 0.000 Bohr magnetons per cell
Energy of formation ... -0.30 eV/atom

DFT (GGA-PBEsol) results for a relaxed Li2Pt crystal.

```
3
Lattice="-1.503 1.503 4.309 1.503 -1.503 4.309 1.503 1.503 -4.309" Properties=species:S:1:pos:R:3 pbc="T T T"
Li 0.000 0.000 1.365
Li 0.000 0.000 7.253
Pt 0.000 0.000 4.309
```

Computed properties:
Excess energy over the best structure of this formula in the dataset ... 20 kJ/mol of formula units
Crystal system ... tetragonal
Total magnetic moment ... 0.000 Bohr magnetons per cell
Energy of formation ... -0.41 eV/atom